This record from Alexandria via LeMat-Bulk describes a geometry-optimized Pa2GaBi structure. The functional is PBE-GGA.

Computed properties:
E above lowest polymorph in meV/atom: 42.8
Crystal system: tetragonal
SG: No. 123
Total moment in μB/f.u.: 1.91
Fermi-level density of states in states/eV/cell: 8.5

Structure (extended XYZ):
```
4
Lattice="4.755 0.000 0.000 0.000 4.755 0.000 0.000 0.000 4.427" Properties=species:S:1:pos:R:3 pbc="T T T"
Pa 0.000 2.378 0.000
Pa 2.378 0.000 0.000
Ga 0.000 0.000 2.214
Bi 2.378 2.378 2.214
```